Density functional theory data (PBE-GGA) for a relaxed structure of SmEr4Hg5.

Cell lengths 3.7014, 3.7014, 18.6646 Å; angles 90.00, 90.00, 90.00 degrees
With the nearest neighbours (Å) after each atom.
Atoms (fractional coordinates):
Sm  0.0000  0.0000  0.0000  8 Hg 3.30
Er  0.0000  0.0000  0.2041  8 Hg 3.17-3.20
Er  0.0000  0.0000  0.4016  8 Hg 3.20
Er  0.0000  0.0000  0.5984  8 Hg 3.20
Er  0.0000  0.0000  0.7959  8 Hg 3.17-3.20
Hg  0.5000  0.5000  0.1078  4 Er 3.17, 4 Sm 3.30
Hg  0.5000  0.5000  0.3027  8 Er 3.20
Hg  0.5000  0.5000  0.5000  8 Er 3.20
Hg  0.5000  0.5000  0.6973  8 Er 3.20
Hg  0.5000  0.5000  0.8922  4 Er 3.17, 4 Sm 3.30

The total energy comes out at -2.928 eV per atom. The size of the total moment comes out at 0.435 Bohr magnetons per cell. The formation energy comes out at -480 meV/atom. The value obtained for the calculated volume is 25.6 Å³/atom. The density is 11.83 Mg/m³.